Entry 1:
Density functional theory data (PBE-GGA) for BaTcNi after structural relaxation.

The energy above the most stable polymorph in this dataset comes out at 589.8 meV per atom. The total magnetic moment is 3.47 μB per formula unit.

Cell: 6.7147 6.7147 6.7147 Å, 90.00 90.00 90.00°
Space group F-43m (No. 216)
Inequivalent atoms, fractional coordinates:
Ba 0.0000 0.0000 0.0000 (multiplicity 4)
Tc 0.0000 0.0000 0.5000 (multiplicity 4)
Ni 0.2500 0.2500 0.2500 (multiplicity 4)

---

Entry 2:
Density functional theory data (PBE-GGA) for MgNpSb after structural relaxation.

The energy above the most stable polymorph in this dataset comes out at 92.3 meV per atom. The total magnetic moment is 4.30 μB per formula unit. As for the uncorrected formation energy: 0.003 kcal/mol of atoms.

Cell: 4.8971 4.8971 3.5515 Å, 90.00 90.00 120.00°
Space group P-6m2 (No. 187)
Inequivalent atoms, fractional coordinates:
Mg 0.0000 0.0000 0.0000 (multiplicity 1)
Np 0.3333 0.6667 0.5000 (multiplicity 1)
Sb 0.6667 0.3333 0.0000 (multiplicity 1)

---

Entry 3:
Density functional theory data (PBE-GGA) for Ni2OsBr after structural relaxation.

The energy above the most stable polymorph in this dataset comes out at 142.1 meV per atom. The total magnetic moment is 0.00 μB per formula unit. As for the uncorrected formation energy: 14.462 kcal/mol of atoms.

Cell: 7.9811 2.8938 6.2790 Å, 90.00 100.84 90.00°
Space group Cm (No. 8)
Inequivalent atoms, fractional coordinates:
Ni 0.0000 0.0000 0.0000 (multiplicity 2)
Ni 0.2412 0.5000 0.1731 (multiplicity 2)
Os 0.2595 0.0000 0.8605 (multiplicity 2)
Br 0.1552 0.5000 0.5170 (multiplicity 2)

---

Entry 4:
Density functional theory data (PBE-GGA) for Rb2CuH4 after structural relaxation.

The value obtained for the total energy is -39.1 eV for the cell shown. The total magnetic moment is 0.00 μB per formula unit.

Cell: 5.7177 5.9994 8.9361 Å, 90.00 91.92 90.00°
Space group P2_1/m (No. 11)
Inequivalent atoms, fractional coordinates:
Rb 0.2432 0.2500 0.0035 (multiplicity 2)
Rb 0.2467 0.2500 0.5060 (multiplicity 2)
Cu 0.1921 0.7500 0.7525 (multiplicity 2)
H 0.0988 0.0005 0.7503 (multiplicity 4)
H 0.2542 0.7500 0.9273 (multiplicity 2)
H 0.2591 0.7500 0.5812 (multiplicity 2)

---

Entry 5:
Density functional theory data (PBE-GGA) for SrY4Tl after structural relaxation.

The value obtained for the total energy is -114.0 eV for the cell shown. The total magnetic moment is 0.00 μB per formula unit.

Cell: 9.4129 9.4129 9.4129 Å, 90.00 90.00 90.00°
Space group F-43m (No. 216)
Inequivalent atoms, fractional coordinates:
Sr 0.0000 0.0000 0.0000 (multiplicity 4)
Y 0.1245 0.1245 0.3755 (multiplicity 16)
Tl 0.2500 0.2500 0.7500 (multiplicity 4)

---

Entry 6:
Density functional theory data (PBE-GGA) for Rb3Pb after structural relaxation.

The value obtained for the total energy is -13.1 eV for the cell shown. The total magnetic moment is 0.00 μB per formula unit.

Cell: 5.3701 6.5565 12.1315 Å, 90.00 90.00 90.00°
Space group Immm (No. 71)
Inequivalent atoms, fractional coordinates:
Rb 0.0000 0.0000 0.0000 (multiplicity 2)
Rb 0.0000 0.5000 0.2350 (multiplicity 4)
Pb 0.0000 0.0000 0.5000 (multiplicity 2)

---

Entry 7:
Density functional theory data (PBE-GGA) for NiAsP2 after structural relaxation.

The value obtained for the total energy is -82.4 eV for the cell shown. The total magnetic moment is 0.00 μB per formula unit.

Cell: 4.8439 5.2167 9.0930 Å, 90.00 90.00 90.00°
Space group Fmmm (No. 69)
Inequivalent atoms, fractional coordinates:
Ni 0.0000 0.0000 0.0000 (multiplicity 4)
As 0.0000 0.0000 0.5000 (multiplicity 4)
P 0.0000 0.2500 0.2500 (multiplicity 8)

---

Entry 8:
Density functional theory data (PBE-GGA) for LaTbHgSb after structural relaxation.

The total magnetic moment is 0.01 μB per formula unit. As for the uncorrected formation energy: -15.576 kcal/mol of atoms.

Cell: 7.6800 7.6800 7.6800 Å, 90.00 90.00 90.00°
Space group F-43m (No. 216)
Inequivalent atoms, fractional coordinates:
La 0.0000 0.0000 0.0000 (multiplicity 4)
Tb 0.0000 0.0000 0.5000 (multiplicity 4)
Hg 0.2500 0.2500 0.2500 (multiplicity 4)
Sb 0.2500 0.2500 0.7500 (multiplicity 4)

---

Entry 9:
Density functional theory data (PBE-GGA) for TbPr12Y7 after structural relaxation.

The energy above the most stable polymorph in this dataset comes out at 0.0 meV per atom. The total magnetic moment is 0.00 μB per formula unit.

Cell: 12.2984 12.2984 16.2882 Å, 90.00 90.00 120.00°
Space group R-3 (No. 148, hexagonal axes)
Inequivalent atoms, fractional coordinates:
Tb 0.0000 0.0000 0.0000 (multiplicity 3)
Pr 0.0242 0.5737 0.2233 (multiplicity 18)
Pr 0.0602 0.8719 0.2890 (multiplicity 18)
Y 0.0000 0.0000 0.5000 (multiplicity 3)
Y 0.0603 0.4729 0.5827 (multiplicity 18)

---

Entry 10:
Density functional theory data (PBE-GGA) for Ba12Cu3Ni5 after structural relaxation.

The value obtained for the total energy is -478.1 eV for the cell shown. The total magnetic moment is 0.00 μB per formula unit.

Cell: 18.7471 18.7471 18.7471 Å, 90.00 90.00 90.00°
Space group Ia-3d (No. 230)
Inequivalent atoms, fractional coordinates:
Ba 0.0277 0.0607 0.6506 (multiplicity 96)
Cu 0.0000 0.2500 0.1250 (multiplicity 24)
Ni 0.0000 0.0000 0.0000 (multiplicity 16)
Ni 0.0000 0.2500 0.3750 (multiplicity 24)

---

Entry 11:
Density functional theory data (PBE-GGA) for YReRh2 after structural relaxation.

The energy above the most stable polymorph in this dataset comes out at 41.2 meV per atom. The total magnetic moment is 0.00 μB per formula unit.

Cell: 5.9003 7.7441 2.9115 Å, 90.00 90.00 90.00°
Space group Cmmm (No. 65)
Inequivalent atoms, fractional coordinates:
Y 0.0000 0.0000 0.0000 (multiplicity 2)
Re 0.0000 0.5000 0.0000 (multiplicity 2)
Rh 0.2500 0.2500 0.5000 (multiplicity 4)

---

Entry 12:
Density functional theory data (PBE-GGA) for CaGaP2 after structural relaxation.

The value obtained for the total energy is -71.3 eV for the cell shown. The total magnetic moment is 0.00 μB per formula unit.

Cell: 6.9551 6.9551 7.1597 Å, 90.00 90.00 90.00°
Space group I-42d (No. 122)
Inequivalent atoms, fractional coordinates:
Ca 0.0000 0.0000 0.0000 (multiplicity 4)
Ga 0.0000 0.0000 0.5000 (multiplicity 4)
P 0.1896 0.7500 0.6250 (multiplicity 8)

---

Entry 13:
Density functional theory data (PBE-GGA) for Tb4SmHo2Tm2 after structural relaxation.

The value obtained for the total energy is -82.6 eV for the cell shown. The total magnetic moment is 0.00 μB per formula unit.

Cell: 18.5605 3.5748 9.4990 Å, 90.00 115.71 90.00°
Space group C2/m (No. 12)
Inequivalent atoms, fractional coordinates:
Tb 0.0185 0.0000 0.3349 (multiplicity 4)
Tb 0.1856 0.5000 0.3338 (multiplicity 4)
Sm 0.0000 0.5000 0.0000 (multiplicity 2)
Ho 0.1484 0.5000 0.6682 (multiplicity 4)
Tm 0.1679 0.0000 0.0002 (multiplicity 4)

---

Entry 14:
Density functional theory data (PBE-GGA) for Nd2Ho5Tm2 after structural relaxation.

The energy above the most stable polymorph in this dataset comes out at 0.0 meV per atom. The total magnetic moment is 0.00 μB per formula unit.

Cell: 14.8561 11.7692 6.6903 Å, 90.00 90.00 90.00°
Space group Ima2 (No. 46)
Inequivalent atoms, fractional coordinates:
Nd 0.0000 0.0000 0.0000 (multiplicity 4)
Nd 0.2500 0.0099 0.9044 (multiplicity 4)
Ho 0.0527 0.7438 0.3045 (multiplicity 8)
Ho 0.1423 0.2357 0.1140 (multiplicity 8)
Ho 0.2500 0.7470 0.1106 (multiplicity 4)
Tm 0.1267 0.5043 0.9528 (multiplicity 8)

---

Entry 15:
Density functional theory data (PBE-GGA) for LiTi2Tc after structural relaxation.

The value obtained for the total energy is -107.3 eV for the cell shown. The total magnetic moment is 0.00 μB per formula unit.

Cell: 6.8238 6.8238 5.3729 Å, 90.00 90.00 90.00°
Space group I-42d (No. 122)
Inequivalent atoms, fractional coordinates:
Li 0.0000 0.0000 0.0000 (multiplicity 4)
Ti 0.2466 0.2500 0.6250 (multiplicity 8)
Tc 0.0000 0.0000 0.5000 (multiplicity 4)

---

Entry 16:
Density functional theory data (PBE-GGA) for DyAlZnAg3 after structural relaxation.

The value obtained for the total energy is -73.7 eV for the cell shown. The total magnetic moment is 0.00 μB per formula unit.

Cell: 6.6796 12.6801 5.8390 Å, 90.00 90.00 90.00°
Space group Cmcm (No. 63)
Inequivalent atoms, fractional coordinates:
Dy 0.0000 0.2000 0.2500 (multiplicity 4)
Al 0.0000 0.4332 0.2500 (multiplicity 4)
Zn 0.0000 0.1467 0.7500 (multiplicity 4)
Ag 0.0000 0.3509 0.7500 (multiplicity 4)
Ag 0.2062 0.0000 0.0000 (multiplicity 8)

---

Entry 17:
Density functional theory data (PBE-GGA) for Cs2TeW after structural relaxation.

The total magnetic moment is 5.98 μB per formula unit. As for the uncorrected formation energy: 25.796 kcal/mol of atoms.

Cell: 9.0087 9.0087 9.0087 Å, 90.00 90.00 90.00°
Space group Fm-3m (No. 225)
Inequivalent atoms, fractional coordinates:
Cs 0.2500 0.2500 0.2500 (multiplicity 8)
Te 0.0000 0.0000 0.0000 (multiplicity 4)
W 0.0000 0.0000 0.5000 (multiplicity 4)

---

Entry 18:
Density functional theory data (PBE-GGA) for ZrHg2RhSe after structural relaxation.

The total magnetic moment is 0.00 μB per formula unit. As for the uncorrected formation energy: 3.430 kcal/mol of atoms.

Cell: 5.1332 5.1332 4.9169 Å, 90.00 90.00 90.00°
Space group P4/mmm (No. 123)
Inequivalent atoms, fractional coordinates:
Zr 0.0000 0.0000 0.0000 (multiplicity 1)
Hg 0.0000 0.5000 0.5000 (multiplicity 2)
Rh 0.0000 0.0000 0.5000 (multiplicity 1)
Se 0.5000 0.5000 0.0000 (multiplicity 1)

---

Entry 19:
Density functional theory data (PBE-GGA) for SrZnGeAu3 after structural relaxation.

The value obtained for the total energy is -77.7 eV for the cell shown. The total magnetic moment is 0.00 μB per formula unit.

Cell: 6.8184 12.4659 6.4493 Å, 90.00 90.00 90.00°
Space group Cmcm (No. 63)
Inequivalent atoms, fractional coordinates:
Sr 0.0000 0.2143 0.2500 (multiplicity 4)
Zn 0.0000 0.4709 0.2500 (multiplicity 4)
Ge 0.0000 0.1211 0.7500 (multiplicity 4)
Au 0.0000 0.3219 0.7500 (multiplicity 4)
Au 0.2122 0.0000 0.0000 (multiplicity 8)

---

Entry 20:
Density functional theory data (PBE-GGA) for La2Hg2Br after structural relaxation.

The energy above the most stable polymorph in this dataset comes out at 0.0 meV per atom. The total magnetic moment is 0.00 μB per formula unit. As for the uncorrected formation energy: -17.360 kcal/mol of atoms.

Cell: 8.2205 8.2205 4.6660 Å, 90.00 90.00 90.00°
Space group P4/mbm (No. 127)
Inequivalent atoms, fractional coordinates:
La 0.1608 0.3392 0.0000 (multiplicity 4)
Hg 0.1362 0.6362 0.5000 (multiplicity 4)
Br 0.0000 0.0000 0.0000 (multiplicity 2)

---

Entry 21:
Density functional theory data (PBE-GGA) for Mn2TlRuN after structural relaxation.

The total magnetic moment is 8.67 μB per formula unit. As for the uncorrected formation energy: 16.949 kcal/mol of atoms.

Cell: 5.0813 5.0813 3.7284 Å, 90.00 90.00 90.00°
Space group P4/mmm (No. 123)
Inequivalent atoms, fractional coordinates:
Mn 0.0000 0.5000 0.0000 (multiplicity 2)
Tl 0.0000 0.0000 0.5000 (multiplicity 1)
Ru 0.5000 0.5000 0.0000 (multiplicity 1)
N 0.5000 0.5000 0.5000 (multiplicity 1)